# NbFe2SiTc, PBEsol geometry, DFT SCAN
# calculated volume	86.2	Å³ per cell
# crystal system	tetragonal
# formation energy from raw total energies	8.70	eV/f.u.
# density	6.370	g/cm³
# DOS(E_F)	0.6567	states/eV per atom
data_NbFe2SiTc
_cell_length_a 4.2921
_cell_length_b 4.2921
_cell_length_c 4.6792
_cell_angle_alpha 90.00
_cell_angle_beta 90.00
_cell_angle_gamma 90.00
_symmetry_space_group_name_H-M 'P 4/m m m'
_symmetry_Int_Tables_number 123
_symmetry_space_group_name_Hall '-P 4 2'
loop_
_atom_site_label
_atom_site_fract_x
_atom_site_fract_y
_atom_site_fract_z
Nb1 0.0000 0.0000 0.0000
Fe1 0.0000 0.5000 0.0000
Si1 0.0000 0.0000 0.5000
Tc1 0.5000 0.5000 0.5000